w:
Below is an optimized crystal structure of MgTlGaPb, with properties calculated at the PBE level.

Summary:
- volume (Å³/atom) = 25.87

Lattice parameters (Å, degrees): 5.270 5.270 5.270 60.00 60.00 60.00
Positions (direct):
Mg1 0.000 0.000 0.000
Tl1 0.250 0.250 0.250
Ga1 0.500 0.500 0.500
Pb1 0.750 0.750 0.750

***

x:
Below is an optimized crystal structure of MgTlGaPb, with properties calculated at the PBE level.

Summary:
- volume (Å³/atom) = 25.85

Lattice parameters (Å, degrees): 3.411 3.411 8.888 90.00 90.00 90.00
Positions (direct):
Mg1 0.000 0.000 0.000
Tl1 0.000 0.000 0.557
Ga1 0.500 0.500 0.810
Pb1 0.500 0.500 0.249

***

Least stable structure: w